An optimized crystal structure of Li2YHg, computed with PBE.

abc: 4.725 5.745 6.601
angles: 90.00 90.00 90.00
Element x y z (fractional)
Li 0.250 0.008 0.108
Li 0.250 0.492 0.108
Li 0.750 0.508 0.892
Li 0.750 0.992 0.892
Y 0.250 0.250 0.570
Y 0.750 0.750 0.430
Hg 0.250 0.750 0.743
Hg 0.750 0.250 0.257

Spin magnetization, μB per atom: 0.000
Theoretical density, g/cm³: 5.623
DOS(E_F), states/eV/f.u.: 3.74
E_tot, eV/atom: -2.8930
ΔE to the lowest computed polymorph, meV/atom: 0

---

An optimized crystal structure of LiYHg3, computed with PBE.

abc: 4.450 4.821 10.635
angles: 90.00 101.93 90.00
Element x y z (fractional)
Li 0.248 0.250 0.496
Li 0.752 0.750 0.504
Y 0.434 0.250 0.869
Y 0.566 0.750 0.131
Hg 0.052 0.250 0.101
Hg 0.170 0.750 0.341
Hg 0.334 0.750 0.668
Hg 0.666 0.250 0.332
Hg 0.830 0.250 0.659
Hg 0.948 0.750 0.899

Spin magnetization, μB per atom: 0.000
Theoretical density, g/cm³: 10.379
DOS(E_F), states/eV/f.u.: 2.61
E_tot, eV/atom: -2.2219
ΔE to the lowest computed polymorph, meV/atom: 0